Computed, not measured: an optimized crystal structure of ZrAlRu2 at the PBE level of DFT.

Energy relative to the elements   0.011 eV per atom
E   -30.80 eV/f.u.
Space-group type   R3m

abc: 9.313 9.313 9.313
angles: 17.70 17.70 17.70
Fractional positions:
Zr 0.000 0.000 0.000
Al 0.761 0.761 0.761
Ru 0.243 0.243 0.243
Ru 0.502 0.502 0.502